i) ## SmUP2 (PBE-GGA)

Data for a relaxed SmUP2 crystal.

Structure (CIF):
```
data_SmUP2
_cell_length_a 3.9437
_cell_length_b 3.9437
_cell_length_c 20.8152
_cell_angle_alpha 90.00
_cell_angle_beta 90.00
_cell_angle_gamma 120.00
_space_group_name_H-M_alt 'R 3 m'
_space_group_IT_number 160
_space_group_name_Hall 'R 3 -2"'
loop_
_atom_site_label
_atom_site_fract_x
_atom_site_fract_y
_atom_site_fract_z
_atom_site_occupancy
Sm1 0.0000 0.0000 0.0000 1
U1 0.0000 0.0000 0.1739 1
P1 0.0000 0.0000 0.5830 1
P2 0.0000 0.0000 0.7600 1
```

ii) ## SmUP2 (PBE-GGA)

Data for a relaxed SmUP2 crystal.

Structure (CIF):
```
data_SmUP2
_cell_length_a 3.816
_cell_length_b 5.184
_cell_length_c 9.899
_cell_angle_alpha 90.00
_cell_angle_beta 90.00
_cell_angle_gamma 90.00
_space_group_name_H-M_alt 'P m m n'
_space_group_IT_number 59
loop_
_space_group_symop_operation_xyz
'x,y,z'
'-x,-y,-z'
'-x+1/2,-y+1/2,z'
'x+1/2,y+1/2,-z'
'x+1/2,-y,-z'
'-x+1/2,y,z'
'-x,y+1/2,-z'
'x,-y+1/2,z'
loop_
_atom_site_label
_atom_site_fract_x
_atom_site_fract_y
_atom_site_fract_z
_atom_site_occupancy
Sm1 0.250 0.250 0.124 1
U1 0.250 0.750 0.384 1
P1 0.250 0.250 0.414 1
P2 0.250 0.250 0.835 1
```

From most stable to least stable, the computed energies give i), ii).

i) ## SmYP2 (PBE-GGA)

Data for a relaxed SmYP2 crystal.

Structure (CIF):
```
data_SmYP2
_cell_length_a 4.0637
_cell_length_b 4.0637
_cell_length_c 19.8760
_cell_angle_alpha 90.00
_cell_angle_beta 90.00
_cell_angle_gamma 120.00
_space_group_name_H-M_alt 'R -3 m'
_space_group_IT_number 166
_space_group_name_Hall '-R 3 2"'
loop_
_atom_site_label
_atom_site_fract_x
_atom_site_fract_y
_atom_site_fract_z
_atom_site_occupancy
Sm1 0.0000 0.0000 0.0000 1
Y1 0.0000 0.0000 0.5000 1
P1 0.0000 0.0000 0.2482 1
```

ii) ## SmYP2 (PBE-GGA)

Data for a relaxed SmYP2 crystal.

Structure (CIF):
```
data_SmYP2
_cell_length_a 4.0235
_cell_length_b 4.0235
_cell_length_c 20.7234
_cell_angle_alpha 90.00
_cell_angle_beta 90.00
_cell_angle_gamma 120.00
_space_group_name_H-M_alt 'R 3 m'
_space_group_IT_number 160
_space_group_name_Hall 'R 3 -2"'
loop_
_atom_site_label
_atom_site_fract_x
_atom_site_fract_y
_atom_site_fract_z
_atom_site_occupancy
Sm1 0.0000 0.0000 0.0000 1
Y1 0.0000 0.0000 0.8284 1
P1 0.0000 0.0000 0.4146 1
P2 0.0000 0.0000 0.5798 1
```

From most stable to least stable, the computed energies give i), ii).

i) ## Sn3P (PBE-GGA)

Data for a relaxed Sn3P crystal.

Structure (CIF):
```
data_Sn3P
_cell_length_a 4.629
_cell_length_b 4.629
_cell_length_c 4.629
_cell_angle_alpha 90.00
_cell_angle_beta 90.00
_cell_angle_gamma 90.00
_space_group_name_H-M_alt 'P m -3 m'
_space_group_IT_number 221
_space_group_name_Hall '-P 4 2 3'
loop_
_atom_site_label
_atom_site_fract_x
_atom_site_fract_y
_atom_site_fract_z
_atom_site_occupancy
Sn1 0.000 0.000 0.500 1
P1 0.500 0.500 0.500 1
```

ii) ## Sn3P (PBE-GGA)

Data for a relaxed Sn3P crystal.

Structure (CIF):
```
data_Sn3P
_cell_length_a 3.685
_cell_length_b 10.288
_cell_length_c 5.342
_cell_angle_alpha 90.00
_cell_angle_beta 90.00
_cell_angle_gamma 90.00
_space_group_name_H-M_alt 'I m m 2'
_space_group_IT_number 44
loop_
_space_group_symop_operation_xyz
'x,y,z'
'-x,-y,z'
'-x,y,z'
'x,-y,z'
'x+1/2,y+1/2,z+1/2'
'-x+1/2,-y+1/2,z+1/2'
'-x+1/2,y+1/2,z+1/2'
'x+1/2,-y+1/2,z+1/2'
loop_
_atom_site_label
_atom_site_fract_x
_atom_site_fract_y
_atom_site_fract_z
_atom_site_occupancy
Sn1 0.000 0.000 0.000 1
Sn2 0.000 0.201 0.524 1
P1 0.000 0.500 0.888 1
```

iii) ## Sn3P (PBE-GGA)

Data for a relaxed Sn3P crystal.

Structure (CIF):
```
data_Sn3P
_cell_length_a 7.272
_cell_length_b 7.272
_cell_length_c 7.272
_cell_angle_alpha 90.00
_cell_angle_beta 90.00
_cell_angle_gamma 90.00
_space_group_name_H-M_alt 'F m -3 m'
_space_group_IT_number 225
_space_group_name_Hall '-F 4 2 3'
loop_
_atom_site_label
_atom_site_fract_x
_atom_site_fract_y
_atom_site_fract_z
_atom_site_occupancy
Sn1 0.000 0.000 0.000 1
Sn2 0.250 0.250 0.250 1
P1 0.000 0.000 0.500 1
```

iv) ## Sn3P (PBE-GGA)

Data for a relaxed Sn3P crystal.

Structure (CIF):
```
data_Sn3P
_cell_length_a 3.930
_cell_length_b 5.745
_cell_length_c 4.742
_cell_angle_alpha 90.00
_cell_angle_beta 90.00
_cell_angle_gamma 90.00
_space_group_name_H-M_alt 'P m m 2'
_space_group_IT_number 25
loop_
_space_group_symop_operation_xyz
'x,y,z'
'-x,-y,z'
'-x,y,z'
'x,-y,z'
loop_
_atom_site_label
_atom_site_fract_x
_atom_site_fract_y
_atom_site_fract_z
_atom_site_occupancy
Sn1 0.000 0.000 0.000 1
Sn2 0.000 0.500 0.172 1
Sn3 0.500 0.000 0.518 1
P1 0.500 0.500 0.534 1
```

From most stable to least stable, the computed energies give iv), ii), iii), i).

i) ## Sn3P (PBE-GGA)

Data for a relaxed Sn3P crystal.

Structure (CIF):
```
data_Sn3P
_cell_length_a 4.187
_cell_length_b 4.187
_cell_length_c 11.778
_cell_angle_alpha 90.00
_cell_angle_beta 90.00
_cell_angle_gamma 90.00
_space_group_name_H-M_alt 'I 4/m m m'
_space_group_IT_number 139
_space_group_name_Hall '-I 4 2'
loop_
_atom_site_label
_atom_site_fract_x
_atom_site_fract_y
_atom_site_fract_z
_atom_site_occupancy
Sn1 0.000 0.000 0.000 1
Sn2 0.000 0.000 0.270 1
P1 0.000 0.000 0.500 1
```

ii) ## Sn3P (PBE-GGA)

Data for a relaxed Sn3P crystal.

Structure (CIF):
```
data_Sn3P
_cell_length_a 6.4393
_cell_length_b 6.4393
_cell_length_c 5.4524
_cell_angle_alpha 90.00
_cell_angle_beta 90.00
_cell_angle_gamma 120.00
_space_group_name_H-M_alt 'P 63/m m c'
_space_group_IT_number 194
_space_group_name_Hall '-P 6c 2c'
loop_
_atom_site_label
_atom_site_fract_x
_atom_site_fract_y
_atom_site_fract_z
_atom_site_occupancy
Sn1 0.1707 0.3414 0.2500 1
P1 0.3333 0.6667 0.7500 1
```

From most stable to least stable, the computed energies give i), ii).